Record 1
# PrNdPu2Sb4 (PBE, relaxed)
# uncorrected energy: -7.725 eV/atom
data_PrNdPu2Sb4
_chemical_formula_sum 'Pr1 Nd1 Pu2 Sb4'
_cell_length_a 7.752
_cell_length_b 4.487
_cell_length_c 7.769
_cell_angle_alpha 90.00
_cell_angle_beta 109.50
_cell_angle_gamma 90.00
_space_group_name_H-M_alt 'P 1 2/m 1'
_space_group_IT_number 10
loop_
_space_group_symop_operation_xyz
'x,y,z'
'-x,-y,-z'
'-x,y,-z'
'x,-y,z'
loop_
_atom_site_label
_atom_site_fract_x
_atom_site_fract_y
_atom_site_fract_z
Pr1 0.000 0.000 0.000
Nd1 0.000 0.500 0.500
Pu1 0.500 0.000 0.500
Pu2 0.500 0.500 0.000
Sb1 0.260 0.000 0.752
Sb2 0.260 0.500 0.254

Record 2
# Co2RhBr (PBE, relaxed)
# offset from the most stable computed form: 133 meV per atom
data_Co2RhBr
_chemical_formula_sum 'Co6 Rh3 Br3'
_cell_length_a 2.9329
_cell_length_b 2.9329
_cell_length_c 23.9196
_cell_angle_alpha 90.00
_cell_angle_beta 90.00
_cell_angle_gamma 120.00
_space_group_name_H-M_alt 'R -3 m'
_space_group_IT_number 166
_space_group_name_Hall '-R 3 2"'
loop_
_atom_site_label
_atom_site_fract_x
_atom_site_fract_y
_atom_site_fract_z
Co1 0.0000 0.0000 0.2483
Rh1 0.0000 0.0000 0.5000
Br1 0.0000 0.0000 0.0000

Record 3
# RbPtCl (PBE, relaxed)
# offset from the most stable computed form: 22 meV per atom
data_RbPtCl
_chemical_formula_sum 'Rb4 Pt4 Cl4'
_cell_length_a 3.766
_cell_length_b 5.731
_cell_length_c 16.621
_cell_angle_alpha 90.00
_cell_angle_beta 90.00
_cell_angle_gamma 90.00
_space_group_name_H-M_alt 'I m m 2'
_space_group_IT_number 44
loop_
_space_group_symop_operation_xyz
'x,y,z'
'-x,-y,z'
'-x,y,z'
'x,-y,z'
'x+1/2,y+1/2,z+1/2'
'-x+1/2,-y+1/2,z+1/2'
'-x+1/2,y+1/2,z+1/2'
'x+1/2,-y+1/2,z+1/2'
loop_
_atom_site_label
_atom_site_fract_x
_atom_site_fract_y
_atom_site_fract_z
Rb1 0.000 0.000 0.000
Rb2 0.000 0.000 0.252
Pt1 0.000 0.000 0.734
Pt2 0.000 0.500 0.129
Cl1 0.000 0.000 0.528
Cl2 0.000 0.500 0.339

Record 4
# Ba2YTc (PBE, relaxed)
# calculated formation energy: 749 meV per atom
# offset from the most stable computed form: 359 meV per atom
data_Ba2YTc
_chemical_formula_sum 'Ba8 Y4 Tc4'
_cell_length_a 7.908
_cell_length_b 7.908
_cell_length_c 7.908
_cell_angle_alpha 90.00
_cell_angle_beta 90.00
_cell_angle_gamma 90.00
_space_group_name_H-M_alt 'F -4 3 m'
_space_group_IT_number 216
_space_group_name_Hall 'F -4 2 3'
loop_
_atom_site_label
_atom_site_fract_x
_atom_site_fract_y
_atom_site_fract_z
Ba1 0.000 0.000 0.000
Ba2 0.250 0.250 0.250
Y1 0.000 0.000 0.500
Tc1 0.250 0.250 0.750